! PBE ZrTiPb, optimized geometry; values from VASP
! energy relative to the elements	-0.01	eV per atom
! polymorph energy (0 for the lowest one)	138	meV per atom
! VASP energy	-6.730	eV/atom
! space-group type	No. 74
&SYSTEM
  ibrav = 0, nat = 6, ntyp = 3
/
ATOMIC_SPECIES
Ti 47.87 Ti.upf
Pb 207.20 Pb.upf
Zr 91.22 Zr.upf
ATOMIC_POSITIONS angstrom
Ti 8.479 1.227 4.458
Pb 9.828 3.657 3.864
Ti 5.782 1.227 4.458
Zr 7.131 2.995 2.241
Pb 4.434 1.265 1.958
Zr 4.434 4.395 0.487
CELL_PARAMETERS angstrom
5.393 0.001 0.000
2.697 4.859 -1.185
2.697 -0.079 5.001